Entry 1:
{
  "formula": "KMgRh2",
  "functional": "PBEsol",
  "state": "relaxed",
  "m_tot_mub_per_fu": 0.00,
  "spacegroup": "No. 139",
  "e_form_mev_per_atom": 665,
  "lattice_angstrom": [[4.098, 0.000, 0.000], [0.000, 4.098, 0.000], [-2.049, -2.049, 4.195]],
  "species": ["K", "Mg", "Rh", "Rh"],
  "frac_coords": [[0.500, 0.500, 0.000], [0.000, 0.000, 0.000], [0.750, 0.250, 0.500], [0.250, 0.750, 0.500]]
}

***

Entry 2:
{
  "formula": "K4MgRh",
  "functional": "PBEsol",
  "state": "relaxed",
  "m_tot_mub_per_fu": 0.00,
  "spacegroup": "No. 216",
  "e_form_mev_per_atom": 857,
  "lattice_angstrom": [[-4.145, 5.047, -1.460], [-6.497, -0.453, 1.541], [-2.545, 3.768, 4.911]],
  "species": ["K", "K", "K", "K", "Mg", "Rh"],
  "frac_coords": [[0.373, 0.373, 0.373], [0.373, 0.373, 0.880], [0.880, 0.373, 0.373], [0.373, 0.880, 0.373], [0.750, 0.750, 0.750], [0.000, 0.000, 0.000]]
}

***

Entry 3:
{
  "formula": "K2MgRh",
  "functional": "PBEsol",
  "state": "relaxed",
  "m_tot_mub_per_fu": 0.00,
  "spacegroup": "No. 8",
  "e_form_mev_per_atom": 297,
  "lattice_angstrom": [[4.463, 0.000, 0.000], [-2.231, 3.831, -0.097], [0.000, -2.392, 8.891]],
  "species": ["K", "K", "Mg", "Rh"],
  "frac_coords": [[0.964, 0.928, 0.885], [0.787, 0.574, 0.365], [0.542, 0.083, 0.625], [0.207, 0.414, 0.625]]
}

***

Entry 4:
{
  "formula": "K2MgRu",
  "functional": "PBEsol",
  "state": "relaxed",
  "m_tot_mub_per_fu": 0.00,
  "spacegroup": "No. 47",
  "e_form_mev_per_atom": 1036,
  "lattice_angstrom": [[-0.040, 1.863, 2.247], [2.479, -3.900, 3.279], [5.360, 2.055, -1.609]],
  "species": ["K", "K", "Mg", "Ru"],
  "frac_coords": [[0.000, 0.000, 0.737], [0.000, 0.000, 0.263], [0.500, 0.500, 0.000], [0.500, 0.500, 0.500]]
}

***

Entry 5:
{
  "formula": "KMg2Ru",
  "functional": "PBEsol",
  "state": "relaxed",
  "m_tot_mub_per_fu": 0.74,
  "spacegroup": "No. 65",
  "e_form_mev_per_atom": 681,
  "lattice_angstrom": [[3.086, 0.000, 0.000], [0.000, 5.107, 0.156], [0.000, -0.118, 5.108]],
  "species": ["K", "Mg", "Mg", "Ru"],
  "frac_coords": [[0.500, 0.500, 0.500], [0.000, 0.500, 0.000], [0.000, 0.000, 0.500], [0.500, 0.000, 0.000]]
}

***

Entry 6:
{
  "formula": "KMgZrRu2",
  "functional": "PBEsol",
  "state": "relaxed",
  "m_tot_mub_per_fu": 0.00,
  "spacegroup": "No. 123",
  "e_form_mev_per_atom": 1580,
  "lattice_angstrom": [[-3.225, -3.041, -0.831], [3.285, -3.140, -1.255], [0.267, -1.503, 4.461]],
  "species": ["Ru", "Ru", "K", "Mg", "Zr"],
  "frac_coords": [[0.000, 0.000, 0.500], [0.000, 0.500, 0.000], [0.500, 0.000, 0.000], [0.000, 0.000, 0.000], [0.500, 0.500, 0.500]]
}

***

Entry 7:
{
  "formula": "K3MgS",
  "functional": "PBEsol",
  "state": "relaxed",
  "m_tot_mub_per_fu": 0.00,
  "final_energy_ha_per_atom": -0.0838,
  "spacegroup": "No. 221",
  "lattice_angstrom": [[6.062, 0.000, 0.000], [0.000, 6.062, 0.000], [0.000, 0.000, 6.062]],
  "species": ["Mg", "K", "K", "K", "S"],
  "frac_coords": [[0.500, 0.500, 0.500], [0.000, 0.500, 0.000], [0.000, 0.000, 0.500], [0.500, 0.000, 0.000], [0.000, 0.000, 0.000]]
}

***

Entry 8:
{
  "formula": "KMgSb2",
  "functional": "PBEsol",
  "state": "relaxed",
  "m_tot_mub_per_fu": 0.00,
  "final_energy_ha_per_atom": -0.1141,
  "spacegroup": "No. 44",
  "lattice_angstrom": [[-3.922, -0.063, 0.767], [-0.861, -2.451, -4.606], [2.959, -3.640, 4.420]],
  "species": ["K", "Mg", "Sb", "Sb"],
  "frac_coords": [[0.512, 0.512, 0.024], [0.725, 0.225, 0.451], [0.980, 0.980, 0.960], [0.283, 0.783, 0.566]]
}

***

Entry 9:
{
  "formula": "K2MgSb",
  "functional": "PBEsol",
  "state": "relaxed",
  "m_tot_mub_per_fu": 0.00,
  "final_energy_ha_per_atom": -0.0832,
  "spacegroup": "No. 216",
  "lattice_angstrom": [[5.692, 0.000, 0.000], [2.846, 4.930, 0.000], [2.846, 1.643, 4.648]],
  "species": ["K", "K", "Mg", "Sb"],
  "frac_coords": [[0.000, 0.000, 0.000], [0.750, 0.750, 0.750], [0.500, 0.500, 0.500], [0.250, 0.250, 0.250]]
}

***

Entry 10:
{
  "formula": "KMgSb2",
  "functional": "PBEsol",
  "state": "relaxed",
  "m_tot_mub_per_fu": 0.00,
  "final_energy_ha_per_atom": -0.1163,
  "spacegroup": "No. 122",
  "lattice_angstrom": [[5.595, 0.000, 0.000], [0.000, 5.595, 0.000], [-2.798, -2.798, 9.325]],
  "species": ["Sb", "Sb", "Sb", "Sb", "K", "K", "Mg", "Mg"],
  "frac_coords": [[0.506, 0.875, 0.250], [0.744, 0.375, 0.250], [0.125, 0.256, 0.750], [0.625, 0.494, 0.750], [0.250, 0.750, 0.500], [0.000, 0.000, 0.000], [0.750, 0.250, 0.500], [0.500, 0.500, 0.000]]
}

***

Entry 11:
{
  "formula": "K2MgSb",
  "functional": "PBEsol",
  "state": "relaxed",
  "m_tot_mub_per_fu": 0.00,
  "final_energy_ha_per_atom": -0.0751,
  "spacegroup": "No. 122",
  "lattice_angstrom": [[4.762, 0.000, 0.000], [0.000, 4.762, 0.000], [-2.381, -2.381, 12.211]],
  "species": ["Sb", "Sb", "K", "K", "K", "K", "Mg", "Mg"],
  "frac_coords": [[0.250, 0.750, 0.500], [0.000, 0.000, 0.000], [0.364, 0.875, 0.250], [0.886, 0.375, 0.250], [0.125, 0.114, 0.750], [0.625, 0.636, 0.750], [0.750, 0.250, 0.500], [0.500, 0.500, 0.000]]
}

***

Entry 12:
{
  "formula": "KMgSb2",
  "functional": "PBEsol",
  "state": "relaxed",
  "m_tot_mub_per_fu": 0.00,
  "final_energy_ha_per_atom": -0.1199,
  "spacegroup": "No. 65",
  "lattice_angstrom": [[-1.083, 2.735, -1.695], [-1.018, -1.979, -2.563], [-8.447, -0.856, 4.015]],
  "species": ["K", "Mg", "Sb", "Sb"],
  "frac_coords": [[0.500, 0.500, 0.500], [0.500, 0.500, 0.000], [0.000, 0.000, 0.214], [0.000, 0.000, 0.786]]
}

***

Copy entry 5 word for word.
{
  "formula": "KMg2Ru",
  "functional": "PBEsol",
  "state": "relaxed",
  "m_tot_mub_per_fu": 0.74,
  "spacegroup": "No. 65",
  "e_form_mev_per_atom": 681,
  "lattice_angstrom": [[3.086, 0.000, 0.000], [0.000, 5.107, 0.156], [0.000, -0.118, 5.108]],
  "species": ["K", "Mg", "Mg", "Ru"],
  "frac_coords": [[0.500, 0.500, 0.500], [0.000, 0.500, 0.000], [0.000, 0.000, 0.500], [0.500, 0.000, 0.000]]
}